Record 1
This record from the Alexandria database describes Pm2HoErBi4 after structural relaxation. The functional is PBE.

Structure (POSCAR):
```
Pm2HoErBi4
1.0
7.817 0.000 0.000
0.000 4.521 0.000
-2.611 0.000 7.377
Pm Ho Er Bi
2 1 1 4
direct
0.000 0.000 0.000
0.000 0.500 0.500
0.500 0.000 0.500
0.500 0.500 0.000
0.258 0.500 0.252
0.259 0.000 0.753
0.741 0.000 0.247
0.742 0.500 0.748
```

## Properties
**Spin magnetization**: 0.00 μB/cell
**Symmetry**: P2/m (10)
**ΔH_f (0 K)**: -20.3 kcal/mol of atoms

***

Record 2
This record from the Alexandria database describes RbTe3N after structural relaxation. The functional is PBE.

Structure (POSCAR):
```
RbTe3N
1.0
5.023 0.000 0.000
0.000 5.023 0.000
0.000 0.000 5.023
Rb Te N
1 3 1
direct
0.000 0.000 0.000
0.000 0.500 0.500
0.500 0.000 0.500
0.500 0.500 0.000
0.500 0.500 0.500
```

## Properties
**Energy relative to the elements, uncorrected**: 0.40 eV per atom
**Spin magnetization**: 0.00 μB/cell
**Symmetry**: Pm-3m (221)

***

Record 3
This record from the Alexandria database describes Er2ScPt after structural relaxation. The functional is PBE.

Structure (POSCAR):
```
Er2ScPt
1.0
3.550 0.000 0.000
0.000 3.550 0.000
0.000 0.000 7.665
Er Sc Pt
2 1 1
direct
0.000 0.000 0.212
0.000 0.000 0.788
0.500 0.500 0.500
0.500 0.500 0.000
```

## Properties
**Spin magnetization**: 0.00 μB/cell
**Symmetry**: P4/mmm (123)
**ΔH_f (0 K)**: -13.7 kcal/mol of atoms

***

Record 4
This record from the Alexandria database describes PrTmCd after structural relaxation. The functional is PBE.

Structure (POSCAR):
```
PrTmCd
1.0
0.000 3.687 3.687
3.687 0.000 3.687
3.687 3.687 0.000
Pr Tm Cd
1 1 1
direct
0.000 0.000 0.000
0.500 0.500 0.500
0.750 0.750 0.750
```

## Properties
**Spin magnetization**: 0.00 μB/cell
**Symmetry**: F-43m (216)
**ΔH_f (0 K)**: 2.1 kcal/mol of atoms